Here is a geometry-optimized CaTlHgAs structure from the Alexandria database. Energies are from PBE-GGA.

Its symmetry is No. 216. For the formation energy, the calculation gives -0.3966 eV/atom.

Lattice parameters (Å, degrees): 5.328 5.328 5.328 60.00 60.00 60.00
Fractional positions:
Hg1 0.500 0.500 0.500
As1 0.000 0.000 0.000
Tl1 0.250 0.250 0.250
Ca1 0.750 0.750 0.750